# LiCa2FeN

A relaxed LiCa2FeN crystal (PBE-GGA, Alexandria via LeMat-Bulk).

The calculation puts the formation energy from raw total energies at -0.30 eV/atom.

The space group is P4/mmm (No. 123) and the conventional cell measures 5.113, 5.113 and 3.582 Å, with angles of 90.00, 90.00 and 90.00 degrees. The distinct sites, in fractional coordinates, are Li at (0.000, 0.000, 0.000), Ca at (0.000, 0.500, 0.500), Fe at (0.500, 0.500, 0.000) and N at (0.500, 0.500, 0.500).